No. 1
Pm2Sm3Tm8 | GGA-PBE | relaxed

## Properties
Relative energy among the computed polymorphs = 0.0000 eV/atom
ΔH_f (0 K) = 29 kJ/mol of formula units
Mass density = 8541 kg/m3
Uncorrected energy = -59.1 eV for the cell shown

Cell lengths 6.1271, 7.9499, 9.3096 Å; angles 65.03, 89.91, 82.48 degrees
Space group P-1 (No. 2)
Inequivalent atoms, fractional coordinates:
Pm 0.0769 0.0397 0.3069 x2
Sm 0.0000 0.5000 0.0000 x1
Sm 0.3086 0.6528 0.2313 x2
Tm 0.1536 0.5767 0.6143 x2
Tm 0.2318 0.1145 0.9229 x2
Tm 0.3853 0.1930 0.5379 x2
Tm 0.4617 0.7324 0.8450 x2

No. 2
CaZn2PRh2 | GGA-PBE | relaxed

## Properties
ΔH_f (0 K) = -278 kJ/mol of formula units
Mass density = 6061 kg/m3
Uncorrected energy = -27.5 eV for the cell shown

Cell lengths 4.4592, 4.4592, 5.6171 Å; angles 90.00, 90.00, 90.00 degrees
Space group P4/mmm (No. 123)
Inequivalent atoms, fractional coordinates:
Ca 0.0000 0.0000 0.0000 x1
Zn 0.5000 0.5000 0.2242 x2
P 0.0000 0.0000 0.5000 x1
Rh 0.0000 0.5000 0.5000 x2

No. 3
CaPr2ErSe5 | GGA-PBE | relaxed

## Properties
Uncorrected formation energy = -1.437 eV/atom
Mass density = 5234 kg/m3
Uncorrected energy = -46.5 eV for the cell shown

Cell lengths 5.1021, 5.1021, 10.7721 Å; angles 90.00, 90.00, 90.00 degrees
Space group P4/mmm (No. 123)
Inequivalent atoms, fractional coordinates:
Ca 0.0000 0.0000 0.0000 x1
Pr 0.5000 0.5000 0.2934 x2
Er 0.0000 0.0000 0.5000 x1
Se 0.0000 0.0000 0.2466 x2
Se 0.0000 0.5000 0.5000 x2
Se 0.5000 0.5000 0.0000 x1

No. 4
Rb2Ge2Pt | GGA-PBE | relaxed

## Properties
Relative energy among the computed polymorphs = 0.8411 eV/atom
ΔH_f (0 K) = 307 kJ/mol of formula units
Mass density = 6016 kg/m3
Uncorrected energy = -28.1 eV for the cell shown

Cell lengths 4.4327, 4.4327, 14.3658 Å; angles 90.00, 90.00, 90.00 degrees
Space group I4/mmm (No. 139)
Inequivalent atoms, fractional coordinates:
Rb 0.0000 0.5000 0.2500 x4
Ge 0.0000 0.0000 0.0783 x4
Pt 0.0000 0.0000 0.5000 x2

No. 5
K3NaU3Te8 | GGA-PBE | relaxed

## Properties
Uncorrected formation energy = -0.837 eV/atom
Mass density = 5400 kg/m3
Uncorrected energy = -228.5 eV for the cell shown

Cell lengths 8.9960, 8.9960, 24.6846 Å; angles 90.00, 90.00, 120.00 degrees
Space group R-3m (No. 166, hexagonal axes)
Inequivalent atoms, fractional coordinates:
K 0.0000 0.5000 0.0000 x9
Na 0.0000 0.0000 0.5000 x3
U 0.0000 0.5000 0.5000 x9
Te 0.0000 0.0000 0.2369 x6
Te 0.0221 0.5110 0.7640 x18

No. 6
BaGaN3 | GGA-PBE | relaxed

## Properties
Uncorrected formation energy = 2.220 eV/atom
Mass density = 3838 kg/m3
Uncorrected energy = -18.8 eV for the cell shown

Cell lengths 4.7588, 4.7588, 4.7588 Å; angles 90.00, 90.00, 90.00 degrees
Space group Pm-3m (No. 221)
Inequivalent atoms, fractional coordinates:
Ba 0.0000 0.0000 0.0000 x1
Ga 0.5000 0.5000 0.5000 x1
N 0.0000 0.0000 0.5000 x3